1.
Density functional theory data (PBE+U) for an optimized crystal structure of Ba2AlTlV2O7.

Cell: 3.9079 3.4853 16.4591 Å, 90.00 94.68 90.00°
Element x y z (fractional)
Ba1 0.0000 0.0000 0.0000
Ba2 0.4570 0.0000 0.5850
Al1 0.2640 0.0000 0.2933
Tl1 0.0195 0.5000 0.7862
V1 0.5581 0.5000 0.1440
V2 0.8050 0.5000 0.4082
O1 0.0313 0.5000 0.1353
O2 0.1069 0.5000 0.3150
O3 0.4953 0.5000 0.0242
O4 0.5280 0.0000 0.2123
O5 0.5672 0.0000 0.3868
O6 0.9527 0.5000 0.5161
O7 0.9953 0.0000 0.6885

Its final energy is -6.62 eV per atom. The space-group type is Pm, No. 6.

---

2.
Density functional theory data (PBE+U) for an optimized crystal structure of Ba2AlTlW2O7.

Cell: 4.0620 4.0620 13.7480 Å, 90.00 90.00 90.00°
Element x y z (fractional)
Ba1 0.0000 0.0000 0.1857
Ba2 0.0000 0.0000 0.8143
Al1 0.0000 0.0000 0.5000
Tl1 0.5000 0.5000 0.0000
W1 0.5000 0.5000 0.3524
W2 0.5000 0.5000 0.6476
O1 0.0000 0.0000 0.0000
O2 0.0000 0.5000 0.3574
O3 0.0000 0.5000 0.6426
O4 0.5000 0.0000 0.3574
O5 0.5000 0.0000 0.6426
O6 0.5000 0.5000 0.2042
O7 0.5000 0.5000 0.7958

Its final energy is -6.16 eV per atom. The space-group type is P4/mmm, No. 123.